[1]
Below is NdSc3Sn2 after structural relaxation, with properties calculated at the PBE level. Values from VASP.

Geometry as Quantum ESPRESSO input:
```
&SYSTEM
  ibrav = 0, nat = 12, ntyp = 3
/
ATOMIC_SPECIES
Nd 144.24 Nd.upf
Sc 44.96 Sc.upf
Sn 118.71 Sn.upf
ATOMIC_POSITIONS crystal
Nd 0.8709 0.7417 0.9191
Nd 0.1291 0.2583 0.0809
Sc 0.3092 0.6185 0.5217
Sc 0.9465 0.8930 0.5984
Sc 0.5992 0.1984 0.6975
Sc 0.4008 0.8016 0.3025
Sc 0.0535 0.1070 0.4016
Sc 0.6908 0.3815 0.4783
Sn 0.4824 0.9648 0.8290
Sn 0.5176 0.0352 0.1710
Sn 0.7804 0.5607 0.2569
Sn 0.2196 0.4393 0.7431
CELL_PARAMETERS angstrom
4.5272 0.0000 0.0000
-2.2636 9.1843 -0.3271
0.0000 -4.4582 7.9056
```

Computed properties:
Final energy: -5.77 eV per atom
Calculated volume: 26.84 Å³ per atom

***

[2]
Below is LaCrCl after structural relaxation, with properties calculated at the PBE level. Values from VASP.

Geometry as Quantum ESPRESSO input:
```
&SYSTEM
  ibrav = 0, nat = 3, ntyp = 3
/
ATOMIC_SPECIES
Cr 52.00 Cr.upf
Cl 35.45 Cl.upf
La 138.91 La.upf
ATOMIC_POSITIONS crystal
Cr 0.5000 0.5000 0.5000
Cl 0.0000 0.0000 0.0000
La 0.7500 0.7500 0.7500
CELL_PARAMETERS angstrom
-4.1196 -2.3303 -1.7651
0.3302 -4.7213 -1.7657
-2.0505 -3.8169 2.5968
```

Computed properties:
E above lowest polymorph: 0.381 eV per atom
Calculated volume: 30.38 Å³ per atom

***

[3]
Below is GaTcP after structural relaxation, with properties calculated at the PBE level. Values from VASP.

Geometry as Quantum ESPRESSO input:
```
&SYSTEM
  ibrav = 0, nat = 3, ntyp = 3
/
ATOMIC_SPECIES
P 30.97 P.upf
Tc 98.00 Tc.upf
Ga 69.72 Ga.upf
ATOMIC_POSITIONS crystal
P 0.3083 0.3083 0.6167
Tc 0.6919 0.6919 0.3838
Ga 0.9998 0.9998 0.9995
CELL_PARAMETERS angstrom
3.1096 0.0000 0.0000
0.0000 3.1096 0.0000
-1.5548 -1.5548 4.5239
```

Computed properties:
E above lowest polymorph: 0.056 eV per atom
Calculated volume: 14.58 Å³ per atom